Entry 1:
6
Lattice="-4.600 -2.891 1.128 -0.360 -5.333 -1.488 0.100 -3.973 3.871" Properties=species:S:1:pos:R:3 comment="LaPrPt4, optimized geometry, DFT GGA-PBE" sg=F-43m energy_ev_per_atom=-6.714 e_form_ev_per_fu=-6.416 pbc="T T T"
Pr 0.000 0.000 0.000
Pt -3.087 -5.636 0.259
Pt -2.857 -4.956 2.939
Pt -3.037 -7.623 2.195
Pt -0.737 -6.178 1.631
La -1.215 -3.049 0.878

=====

Entry 2:
12
Lattice="-0.342 6.000 3.746 -4.753 -5.605 1.850 6.970 -1.842 3.587" Properties=species:S:1:pos:R:3 comment="La3PrPt2, optimized geometry, DFT GGA-PBE" sg=C2/c energy_ev_per_atom=-6.049 e_form_ev_per_fu=-4.649 pbc="T T T"
La 5.139 0.176 3.663
La 1.489 3.982 3.670
La 3.253 -0.119 7.183
La 2.107 -2.247 3.793
La -0.232 0.801 5.389
La -1.378 -1.327 1.999
Pr 1.656 1.050 1.840
Pr 4.971 3.108 5.493
Pt -0.651 -2.767 4.370
Pt 2.834 -3.685 6.165
Pt -0.959 2.239 3.018
Pt 2.526 1.320 4.813

=====

Entry 3:
12
Lattice="-0.016 4.980 -2.438 -4.361 -3.378 -0.565 -3.789 3.642 7.466" Properties=species:S:1:pos:R:3 comment="LaPr3Pt8, optimized geometry, DFT GGA-PBE" sg=P3m1 energy_ev_per_atom=-6.624 e_form_ev_per_fu=-11.898 pbc="T T T"
La -2.144 2.061 4.224
Pr -3.108 3.774 1.425
Pr -1.709 2.429 -1.332
Pr -3.549 3.412 6.993
Pt -4.807 1.229 2.543
Pt -6.700 3.049 6.273
Pt -2.863 5.221 4.379
Pt -5.026 3.546 4.099
Pt -5.034 6.016 2.890
Pt -2.392 0.614 1.271
Pt -4.586 -1.085 0.987
Pt -4.594 1.421 -0.240

=====

Entry 4:
10
Lattice="6.405 0.001 0.000 0.001 6.959 -0.001 0.001 0.001 8.106" Properties=species:S:1:pos:R:3 comment="La3PrPt, optimized geometry, DFT GGA-PBE" sg=Pmn2_1 energy_ev_per_atom=-5.506 polymorph_energy_ev_per_atom=0.096 e_form_ev_per_fu=-1.929 pbc="T T T"
La 2.677 2.262 1.628
La 2.718 6.026 7.733
La 5.919 3.390 3.682
La 5.878 0.195 5.680
La 5.919 3.390 7.678
La 2.717 6.026 3.624
Pr 2.781 2.248 5.681
Pr 5.984 0.208 1.627
Pt 1.142 4.720 5.679
Pt 4.344 4.695 1.627

=====

Entry 5:
28
Lattice="-2.203 -0.654 -5.487 3.815 -11.319 -0.183 -10.420 -3.587 4.611" Properties=species:S:1:pos:R:3 comment="LaPr3Pt3, optimized geometry, DFT GGA-PBE" sg=P4_2/mnm energy_ev_per_atom=-6.278 e_form_ev_per_fu=-6.560 pbc="T T T"
La -0.841 -1.899 0.564
La -6.217 -6.795 0.081
La -2.591 -8.765 -1.140
La -5.764 -13.007 3.864
Pr -6.105 -3.576 2.877
Pr -4.605 -3.157 -1.000
Pr -9.681 -4.914 1.247
Pr -2.448 -5.525 1.641
Pr -7.787 -7.372 4.005
Pr -0.979 -5.127 -2.221
Pr -7.829 -10.433 1.161
Pr 1.182 -7.534 0.423
Pr -4.157 -9.381 2.786
Pr 0.873 -10.646 -2.307
Pr -4.203 -12.402 -0.060
Pr -0.500 -11.330 1.551
Pt -8.728 -4.506 4.041
Pt -3.415 -2.794 1.704
Pt -7.169 -3.999 0.130
Pt 0.094 -4.700 0.522
Pt -8.797 -7.674 1.221
Pt -3.619 -6.008 -1.056
Pt -5.189 -9.552 -0.003
Pt -0.011 -7.886 -2.281
Pt -6.699 -10.206 3.905
Pt -1.640 -11.561 -1.189
Pt -3.190 -12.112 2.724
Pt 2.123 -10.400 0.387

=====

Entry 6:
10
Lattice="-2.514 -2.672 -1.909 6.351 -4.476 -2.100 -0.709 -4.208 6.824" Properties=species:S:1:pos:R:3 comment="LaPr2Pt2, optimized geometry, DFT GGA-PBE" sg=P4/mbm energy_ev_per_atom=-6.210 e_form_ev_per_fu=-4.483 pbc="T T T"
La 0.000 0.000 0.000
La 2.821 -4.342 2.362
Pr -0.699 -4.845 3.222
Pr 2.351 -7.825 3.376
Pr 3.827 -6.512 -0.407
Pr 0.777 -3.531 -0.561
Pt 1.714 -5.287 5.144
Pt 5.055 -6.544 2.503
Pt 3.928 -3.397 -0.420
Pt 0.588 -2.140 2.221